Record 1
# LiTi2O4

A PBEsol-optimized structure of LiTi2O4 (meta-GGA SCAN, the Alexandria database).

Cell lengths 5.9117, 5.9117, 5.9117 Å; angles 60.00, 60.00, 60.00 degrees
Closest atoms and distances in Å follow each position.
Sites, in units of the cell vectors:
Li1 0.1250 0.1250 0.1250  4 O 1.98
Li2 0.8750 0.8750 0.8750  4 O 1.98
Ti1 0.0000 0.5000 0.5000  6 O 1.99
Ti2 0.5000 0.0000 0.5000  6 O 1.99
Ti3 0.5000 0.5000 0.0000  6 O 1.99
Ti4 0.5000 0.5000 0.5000  6 O 1.99
O1 0.2620 0.2620 0.2620  1 Li 1.98, 3 Ti 1.99
O2 0.2620 0.2620 0.7139  1 Li 1.98, 3 Ti 1.99
O3 0.2620 0.7139 0.2620  1 Li 1.98, 3 Ti 1.99
O4 0.2861 0.7380 0.7380  1 Li 1.98, 3 Ti 1.99
O5 0.7139 0.2620 0.2620  1 Li 1.98, 3 Ti 1.99
O6 0.7380 0.2861 0.7380  1 Li 1.98, 3 Ti 1.99
O7 0.7380 0.7380 0.2861  1 Li 1.98, 3 Ti 1.99
O8 0.7380 0.7380 0.7380  1 Li 1.98, 3 Ti 1.99

## Properties
* ΔE_f (raw): -3.11 eV per atom
* SG: Fd-3m (227)
* ρ: 3.789 g/cm³

---

Record 2
# Li2Ti13O22

A PBEsol-optimized structure of Li2Ti13O22 (meta-GGA SCAN, the Alexandria database).

Cell lengths 7.6150, 7.6150, 13.8586 Å; angles 90.00, 90.00, 82.54 degrees
Closest atoms and distances in Å follow each position.
Sites, in units of the cell vectors:
Li1 0.0680 0.9320 0.8983  3 O 2.06-2.13
Li2 0.4320 0.5680 0.3983  3 O 2.06-2.13
Li3 0.5680 0.4320 0.6017  3 O 2.06-2.13
Li4 0.9320 0.0680 0.1017  3 O 2.06-2.13
Ti1 0.0000 0.0000 0.5000  6 O 2.01-2.02
Ti2 0.0561 0.1993 0.3210  6 O 1.98-2.07
Ti3 0.0672 0.4259 0.6496  6 O 1.91-2.09
Ti4 0.0741 0.4328 0.8504  6 O 1.91-2.09
Ti5 0.1767 0.8233 0.1642  6 O 1.96-2.05
Ti6 0.1993 0.0561 0.6790  6 O 1.98-2.07
Ti7 0.2380 0.2380 0.0000  6 O 1.96-2.10
Ti8 0.2620 0.2620 0.5000  6 O 1.96-2.10
Ti9 0.3007 0.4439 0.1790  6 O 1.98-2.07
Ti10 0.3233 0.6767 0.6642  6 O 1.96-2.05
Ti11 0.4259 0.0672 0.3504  6 O 1.91-2.09
Ti12 0.4328 0.0741 0.1496  6 O 1.91-2.09
Ti13 0.4439 0.3007 0.8210  6 O 1.98-2.07
Ti14 0.5000 0.5000 0.0000  6 O 2.01-2.02
Ti15 0.5561 0.6993 0.1790  6 O 1.98-2.07
Ti16 0.5672 0.9259 0.8504  6 O 1.91-2.09
Ti17 0.5741 0.9328 0.6496  6 O 1.91-2.09
Ti18 0.6767 0.3233 0.3358  6 O 1.96-2.05
Ti19 0.6993 0.5561 0.8210  6 O 1.98-2.07
Ti20 0.7380 0.7380 0.5000  6 O 1.96-2.10
Ti21 0.7620 0.7620 0.0000  6 O 1.96-2.10
Ti22 0.8007 0.9439 0.3210  6 O 1.98-2.07
Ti23 0.8233 0.1767 0.8358  6 O 1.96-2.05
Ti24 0.9259 0.5672 0.1496  6 O 1.91-2.09
Ti25 0.9328 0.5741 0.3504  6 O 1.91-2.09
Ti26 0.9439 0.8007 0.6790  6 O 1.98-2.07
O1 0.0019 0.9981 0.2411  3 Ti 1.98-2.05, 1 Li 2.06
O2 0.0280 0.2114 0.9186  3 Ti 1.98-2.00, 1 Li 2.13
O3 0.0413 0.2096 0.5809  4 Ti 1.93-2.10
O4 0.0988 0.3979 0.4097  3 Ti 1.91-2.01
O5 0.1021 0.4012 0.0903  3 Ti 1.91-2.01
O6 0.1158 0.6224 0.7467  4 Ti 1.99-2.09
O7 0.1224 0.6158 0.2467  4 Ti 1.99-2.09
O8 0.1536 0.8464 0.5937  4 Ti 1.96-2.05
O9 0.2096 0.0413 0.4191  4 Ti 1.93-2.10
O10 0.2114 0.0280 0.0814  3 Ti 1.98-2.00, 1 Li 2.13
O11 0.2226 0.2774 0.7500  4 Ti 1.98-2.07
O12 0.2774 0.2226 0.2500  4 Ti 1.98-2.07
O13 0.2886 0.4720 0.5814  3 Ti 1.98-2.00, 1 Li 2.13
O14 0.2904 0.4587 0.9191  4 Ti 1.93-2.10
O15 0.3464 0.6536 0.0937  4 Ti 1.96-2.05
O16 0.3776 0.8842 0.7467  4 Ti 1.99-2.09
O17 0.3842 0.8776 0.2467  4 Ti 1.99-2.09
O18 0.3979 0.0988 0.5903  3 Ti 1.91-2.01
O19 0.4012 0.1021 0.9097  3 Ti 1.91-2.01
O20 0.4587 0.2904 0.0809  4 Ti 1.93-2.10
O21 0.4720 0.2886 0.4186  3 Ti 1.98-2.00, 1 Li 2.13
O22 0.4981 0.5019 0.7411  3 Ti 1.98-2.05, 1 Li 2.06
O23 0.5019 0.4981 0.2589  3 Ti 1.98-2.05, 1 Li 2.06
O24 0.5280 0.7114 0.5814  3 Ti 1.98-2.00, 1 Li 2.13
O25 0.5413 0.7096 0.9191  4 Ti 1.93-2.10
O26 0.5988 0.8979 0.0903  3 Ti 1.91-2.01
O27 0.6021 0.9012 0.4097  3 Ti 1.91-2.01
O28 0.6158 0.1224 0.7533  4 Ti 1.99-2.09
O29 0.6224 0.1158 0.2533  4 Ti 1.99-2.09
O30 0.6536 0.3464 0.9063  4 Ti 1.96-2.05
O31 0.7096 0.5413 0.0809  4 Ti 1.93-2.10
O32 0.7114 0.5280 0.4186  3 Ti 1.98-2.00, 1 Li 2.13
O33 0.7226 0.7774 0.7500  4 Ti 1.98-2.07
O34 0.7774 0.7226 0.2500  4 Ti 1.98-2.07
O35 0.7886 0.9720 0.9186  3 Ti 1.98-2.00, 1 Li 2.13
O36 0.7904 0.9587 0.5809  4 Ti 1.93-2.10
O37 0.8464 0.1536 0.4063  4 Ti 1.96-2.05
O38 0.8776 0.3842 0.7533  4 Ti 1.99-2.09
O39 0.8842 0.3776 0.2533  4 Ti 1.99-2.09
O40 0.8979 0.5988 0.9097  3 Ti 1.91-2.01
O41 0.9012 0.6021 0.5903  3 Ti 1.91-2.01
O42 0.9587 0.7904 0.4191  4 Ti 1.93-2.10
O43 0.9720 0.7886 0.0814  3 Ti 1.98-2.00, 1 Li 2.13
O44 0.9981 0.0019 0.7589  3 Ti 1.98-2.05, 1 Li 2.06

## Properties
* ΔE_f (raw): -3.10 eV per atom
* SG: Cmce (64)
* ρ: 4.118 g/cm³

---

Record 3
# Li4Ti3O8

A PBEsol-optimized structure of Li4Ti3O8 (meta-GGA SCAN, the Alexandria database).

Cell lengths 5.7980, 5.7980, 5.7980 Å; angles 60.32, 60.32, 60.32 degrees
Closest atoms and distances in Å follow each position.
Sites, in units of the cell vectors:
Li1 0.0000 0.0000 0.0000  6 O 2.02
Li2 0.0000 0.5000 0.5000  6 O 2.09-2.18
Li3 0.5000 0.0000 0.5000  6 O 2.09-2.18
Li4 0.5000 0.5000 0.0000  6 O 2.09-2.18
Ti1 0.0000 0.0000 0.5000  6 O 1.94-2.03
Ti2 0.0000 0.5000 0.0000  6 O 1.94-2.03
Ti3 0.5000 0.0000 0.0000  6 O 1.94-2.03
O1 0.2156 0.7547 0.7547  2 Ti 1.94, 1 Li 2.02
O2 0.2453 0.2453 0.7844  2 Ti 1.94, 1 Li 2.02
O3 0.2453 0.7844 0.2453  2 Ti 1.94, 1 Li 2.02
O4 0.2463 0.2463 0.2463  3 Ti 2.03, 3 Li 2.09
O5 0.7537 0.7537 0.7537  3 Ti 2.03, 3 Li 2.09
O6 0.7547 0.2156 0.7547  2 Ti 1.94, 1 Li 2.02
O7 0.7547 0.7547 0.2156  2 Ti 1.94, 1 Li 2.02
O8 0.7844 0.2453 0.2453  2 Ti 1.94, 1 Li 2.02

## Properties
* ΔE_f (raw): -2.87 eV per atom
* SG: R-3m (166)
* ρ: 3.581 g/cm³

---

Record 4
# Li4Ti11O24

A PBEsol-optimized structure of Li4Ti11O24 (meta-GGA SCAN, the Alexandria database).

Cell lengths 10.0860, 10.0860, 8.3801 Å; angles 113.93, 113.93, 34.12 degrees
Closest atoms and distances in Å follow each position.
Sites, in units of the cell vectors:
Li1 0.0836 0.0836 0.4732  4 O 1.95-1.98
Li2 0.4121 0.4121 0.7892  4 O 1.92-1.98
Li3 0.5879 0.5879 0.2108  4 O 1.92-1.98
Li4 0.9164 0.9164 0.5268  4 O 1.95-1.98
Ti1 0.0000 0.5000 0.5000  6 O 1.94-2.00
Ti2 0.1573 0.1573 0.1610  6 O 1.86-2.07
Ti3 0.1639 0.6810 0.1587  5 O 1.86-2.05
Ti4 0.3190 0.8361 0.8413  5 O 1.86-2.05
Ti5 0.3294 0.3294 0.3103  5 O 1.83-2.00
Ti6 0.5000 0.0000 0.5000  6 O 1.94-2.00
Ti7 0.5000 0.5000 0.5000  6 O 1.95-1.99
Ti8 0.6706 0.6706 0.6897  5 O 1.83-2.00
Ti9 0.6810 0.1639 0.1587  5 O 1.86-2.05
Ti10 0.8361 0.3190 0.8413  5 O 1.86-2.05
Ti11 0.8427 0.8427 0.8390  6 O 1.86-2.07
O1 0.0098 0.0098 0.7463  2 Ti 1.87, 1 Li 1.95
O2 0.0324 0.4671 0.2699  3 Ti 1.92-2.07
O3 0.1515 0.6699 0.9266  2 Ti 1.86, 1 Li 1.92
O4 0.1542 0.1542 0.9253  3 Ti 1.95-1.96
O5 0.1732 0.1732 0.4159  1 Li 1.98, 3 Ti 2.00-2.02
O6 0.1974 0.6360 0.4031  3 Ti 1.95-2.11, 1 Li 1.96
O7 0.3237 0.3237 0.5637  1 Li 1.93, 2 Ti 1.96
O8 0.3301 0.8485 0.0734  2 Ti 1.86, 1 Li 1.92
O9 0.3456 0.3456 0.1104  3 Ti 1.83-2.05
O10 0.3640 0.8026 0.5969  3 Ti 1.95-2.11, 1 Li 1.96
O11 0.4671 0.0324 0.2699  3 Ti 1.92-2.07
O12 0.4957 0.4957 0.2581  1 Li 1.98, 3 Ti 1.99-2.01
O13 0.5043 0.5043 0.7419  1 Li 1.98, 3 Ti 1.99-2.01
O14 0.5329 0.9676 0.7301  3 Ti 1.92-2.07
O15 0.6360 0.1974 0.4031  3 Ti 1.95-2.11, 1 Li 1.96
O16 0.6544 0.6544 0.8896  3 Ti 1.83-2.05
O17 0.6699 0.1515 0.9266  2 Ti 1.86, 1 Li 1.92
O18 0.6763 0.6763 0.4363  1 Li 1.93, 2 Ti 1.96
O19 0.8026 0.3640 0.5969  3 Ti 1.95-2.11, 1 Li 1.96
O20 0.8268 0.8268 0.5841  1 Li 1.98, 3 Ti 2.00-2.02
O21 0.8458 0.8458 0.0747  3 Ti 1.95-1.96
O22 0.8485 0.3301 0.0734  2 Ti 1.86, 1 Li 1.92
O23 0.9676 0.5329 0.7301  3 Ti 1.92-2.07
O24 0.9902 0.9902 0.2537  2 Ti 1.87, 1 Li 1.95

## Properties
* ΔE_f (raw): -3.12 eV per atom
* SG: C2/m (12)
* ρ: 3.598 g/cm³

---

Record 5
# Li4Ti3O8

A PBEsol-optimized structure of Li4Ti3O8 (meta-GGA SCAN, the Alexandria database).

Cell lengths 5.8166, 5.8166, 5.9414 Å; angles 120.63, 120.63, 60.78 degrees
Closest atoms and distances in Å follow each position.
Sites, in units of the cell vectors:
Li1 0.0000 0.0000 0.0000  6 O 2.04-2.09
Li2 0.0000 0.5000 0.0000  6 O 2.13-2.22
Li3 0.5000 0.0000 0.0000  6 O 2.13-2.22
Li4 0.5000 0.5000 0.5000  6 O 2.03-2.11
Ti1 0.0000 0.5000 0.5000  6 O 1.93-2.02
Ti2 0.5000 0.0000 0.5000  6 O 1.93-2.02
Ti3 0.5000 0.5000 0.0000  6 O 1.93-1.98
O1 0.2505 0.2505 0.2809  2 Ti 1.97, 2 Li 2.03-2.04
O2 0.2555 0.2555 0.7380  3 Ti 1.98-2.02, 2 Li 2.17
O3 0.2565 0.7191 0.7584  2 Ti 1.93, 3 Li 2.09-2.13
O4 0.2809 0.7435 0.2416  2 Ti 1.93, 3 Li 2.09-2.13
O5 0.7191 0.2565 0.7584  2 Ti 1.93, 3 Li 2.09-2.13
O6 0.7435 0.2809 0.2416  2 Ti 1.93, 3 Li 2.09-2.13
O7 0.7445 0.7445 0.2620  3 Ti 1.98-2.02, 2 Li 2.17
O8 0.7495 0.7495 0.7191  2 Ti 1.97, 2 Li 2.03-2.04

## Properties
* ΔE_f (raw): -2.91 eV per atom
* SG: C2/m (12)
* ρ: 3.511 g/cm³

---

- Among the records above, which one has the lowest ρ?
  number 5

---

- The highest ΔE_f (raw) belongs to which entry?
  number 3